The following is a DFT calculation (PBE) of a relaxed PmY12Tm6 crystal.

Properties
The total DFT energy (no corrections) comes out at -5.303 eV per atom. The formation energy comes out at 441 meV per atom. For the energy above the most stable polymorph in this dataset, the calculation gives 0.288 eV per atom. As for the magnetization: 0.00 μB/cell.

a = 15.0208 Å, b = 15.0208 Å, c = 10.0490 Å
α = 90.00°, β = 90.00°, γ = 120.00°
Space group R-3m (No. 166, hexagonal axes)
Inequivalent atoms, fractional coordinates:
Pm1 0.0000 0.0000 0.0000 (multiplicity 3)
Y1 0.0000 0.3888 0.5000 (multiplicity 18)
Y2 0.0733 0.1466 0.2940 (multiplicity 18)
Tm1 0.0530 0.5265 0.2139 (multiplicity 18)